# 1
# SiAgBr2

A relaxed SiAgBr2 crystal (PBE, the Alexandria database).

ρ = 4.910 g/cm3
energy = -0.197 Ry per atom
energy above the most stable polymorph in this dataset = 30.41 kJ per mole of atoms
energy relative to the elements, uncorrected = 0.2213 eV/atom

Cell lengths 3.6975, 3.6975, 8.3534 Å; angles 90.00, 90.00, 118.85 degrees
Fractional positions:
Si1 0.0000 0.0000 0.0000
Ag1 0.0000 0.0000 0.5000
Br1 0.5000 0.5000 0.2559
Br2 0.5000 0.5000 0.7441

***

# 2
# SiB3O

A relaxed SiB3O crystal (PBE, the Alexandria database).

ρ = 2.827 g/cm3
energy = -0.330 Ry per atom
energy above the most stable polymorph in this dataset = 0.00 kJ per mole of atoms
energy relative to the elements, uncorrected = 1.5931 eV/atom

Cell lengths 3.5556, 3.5556, 3.5556 Å; angles 90.00, 90.00, 90.00 degrees
Fractional positions:
Si1 0.0000 0.0000 0.0000
B1 0.0000 0.5000 0.5000
B2 0.5000 0.0000 0.5000
B3 0.5000 0.5000 0.0000
O1 0.5000 0.5000 0.5000

***

# 3
# NbGeO2F

A relaxed NbGeO2F crystal (PBE, the Alexandria database).

ρ = 5.140 g/cm3
energy = -0.502 Ry per atom
energy relative to the elements, uncorrected = -1.5355 eV/atom

Cell lengths 4.0318, 4.0318, 4.3039 Å; angles 90.00, 90.00, 90.00 degrees
Fractional positions:
Nb1 0.0000 0.0000 0.0000
Ge1 0.5000 0.5000 0.5000
O1 0.0000 0.5000 0.0000
O2 0.5000 0.0000 0.0000
F1 0.0000 0.0000 0.5000

***

# 4
# TlCd6Ga2

A relaxed TlCd6Ga2 crystal (PBE, the Alexandria database).

formation energy from the elements = 0.078 eV per atom
ρ = 7.962 g/cm3
energy = -0.108 Ry per atom

Cell lengths 9.0608, 9.0608, 3.2113 Å; angles 99.82, 99.82, 55.17 degrees
Fractional positions:
Tl1 0.0000 0.0000 0.0000
Cd1 0.0162 0.6423 0.8291
Cd2 0.3269 0.6731 0.5000
Cd3 0.3577 0.9838 0.1709
Cd4 0.6423 0.0162 0.8291
Cd5 0.6731 0.3269 0.5000
Cd6 0.9838 0.3577 0.1709
Ga1 0.3329 0.3329 0.3318
Ga2 0.6671 0.6671 0.6682

***

# 5
# Tb7Dy12Y

A relaxed Tb7Dy12Y crystal (PBE, the Alexandria database).

formation energy from the elements = 0.241 eV per atom
ρ = 7.948 g/cm3
energy = -0.328 Ry per atom
energy above the most stable polymorph in this dataset = 0.00 kJ per mole of atoms

Cell lengths 8.7158, 8.7158, 8.7158 Å; angles 86.45, 86.45, 86.45 degrees
Fractional positions:
Tb1 0.0000 0.0000 0.0000
Tb2 0.1028 0.3469 0.4276
Tb3 0.3469 0.4276 0.1028
Tb4 0.4276 0.1028 0.3469
Tb5 0.5724 0.8972 0.6531
Tb6 0.6531 0.5724 0.8972
Tb7 0.8972 0.6531 0.5724
Dy1 0.0046 0.3664 0.8816
Dy2 0.1184 0.9954 0.6336
Dy3 0.2275 0.7567 0.3500
Dy4 0.2433 0.6500 0.7725
Dy5 0.3500 0.2275 0.7567
Dy6 0.3664 0.8816 0.0046
Dy7 0.6336 0.1184 0.9954
Dy8 0.6500 0.7725 0.2433
Dy9 0.7567 0.3500 0.2275
Dy10 0.7725 0.2433 0.6500
Dy11 0.8816 0.0046 0.3664
Dy12 0.9954 0.6336 0.1184
Y1 0.5000 0.5000 0.5000

***

# 6
# Ru4Se

A relaxed Ru4Se crystal (PBE, the Alexandria database).

ρ = 11.088 g/cm3
energy = -0.573 Ry per atom
energy above the most stable polymorph in this dataset = 0.00 kJ per mole of atoms
energy relative to the elements, uncorrected = 0.3215 eV/atom

Cell lengths 4.7269, 4.7269, 4.7269 Å; angles 99.83, 99.83, 131.20 degrees
Fractional positions:
Ru1 0.1044 0.6842 0.7886
Ru2 0.3158 0.1044 0.4202
Ru3 0.6842 0.8956 0.5798
Ru4 0.8956 0.3158 0.2114
Se1 0.5000 0.5000 0.0000

***

# 7
# Ac6NiPd2I3

A relaxed Ac6NiPd2I3 crystal (PBE, the Alexandria database).

ρ = 7.506 g/cm3
energy = -0.344 Ry per atom
energy relative to the elements, uncorrected = -0.8882 eV/atom

Cell lengths 7.7140, 7.7140, 9.0222 Å; angles 98.19, 98.19, 120.01 degrees
Fractional positions:
Ac1 0.0616 0.3847 0.1847
Ac2 0.2616 0.2616 0.8153
Ac3 0.3847 0.0616 0.1847
Ac4 0.6153 0.9384 0.8153
Ac5 0.7384 0.7384 0.1847
Ac6 0.9384 0.6153 0.8153
Ni1 0.0000 0.0000 0.0000
Pd1 0.3333 0.6667 0.0000
Pd2 0.6667 0.3333 0.0000
I1 0.1663 0.8337 0.5000
I2 0.5000 0.5000 0.5000
I3 0.8337 0.1663 0.5000

***

# 8
# RbErPdO3

A relaxed RbErPdO3 crystal (PBE, the Alexandria database).

ρ = 5.807 g/cm3
energy = -0.448 Ry per atom
energy relative to the elements, uncorrected = -1.8354 eV/atom

Cell lengths 7.4229, 7.4229, 8.5509 Å; angles 90.00, 90.00, 150.38 degrees
Fractional positions:
Rb1 0.2181 0.7819 0.7500
Rb2 0.7819 0.2181 0.2500
Er1 0.5000 0.5000 0.0000
Er2 0.5000 0.5000 0.5000
Pd1 0.0906 0.9094 0.2500
Pd2 0.9094 0.0906 0.7500
O1 0.0969 0.9031 0.0047
O2 0.0969 0.9031 0.4953
O3 0.4528 0.5472 0.7500
O4 0.5472 0.4528 0.2500
O5 0.9031 0.0969 0.5047
O6 0.9031 0.0969 0.9953

***

# 9
# TiCo2HgMo

A relaxed TiCo2HgMo crystal (PBE, the Alexandria database).

formation energy from the elements = 1.129 eV per atom
ρ = 8.090 g/cm3
energy = -0.406 Ry per atom

Cell lengths 4.5145, 4.5145, 4.6554 Å; angles 90.00, 90.00, 90.00 degrees
Fractional positions:
Ti1 0.0000 0.0000 0.0000
Co1 0.0000 0.5000 0.5000
Co2 0.5000 0.0000 0.5000
Hg1 0.5000 0.5000 0.0000
Mo1 0.0000 0.0000 0.5000

***

# 10
# Y2VPt9

A relaxed Y2VPt9 crystal (PBE, the Alexandria database).

formation energy from the elements = -0.817 eV per atom
ρ = 16.427 g/cm3
energy = -0.528 Ry per atom

Cell lengths 4.0567, 4.0567, 12.1902 Å; angles 90.00, 90.00, 90.00 degrees
Fractional positions:
Y1 0.0000 0.0000 0.1697
Y2 0.0000 0.0000 0.8303
V1 0.0000 0.0000 0.5000
Pt1 0.0000 0.5000 0.0000
Pt2 0.0000 0.5000 0.3491
Pt3 0.0000 0.5000 0.6509
Pt4 0.5000 0.0000 0.0000
Pt5 0.5000 0.0000 0.3491
Pt6 0.5000 0.0000 0.6509
Pt7 0.5000 0.5000 0.1742
Pt8 0.5000 0.5000 0.5000
Pt9 0.5000 0.5000 0.8258

***

# 11
# AlTeC

A relaxed AlTeC crystal (PBE, the Alexandria database).

ρ = 4.672 g/cm3
energy = -0.349 Ry per atom
energy relative to the elements, uncorrected = 0.6259 eV/atom

Cell lengths 6.6840, 6.6840, 6.6840 Å; angles 149.00, 129.03, 60.87 degrees
Fractional positions:
Al1 0.1452 0.1452 0.0000
Al2 0.8548 0.8548 0.0000
Te1 0.3246 0.8246 0.5000
Te2 0.6754 0.1754 0.5000
C1 0.1114 0.5000 0.6114
C2 0.8886 0.5000 0.3886

***

# 12
# NdSm3

A relaxed NdSm3 crystal (PBE, the Alexandria database).

formation energy from the elements = 0.664 eV per atom
ρ = 6.977 g/cm3
energy = -0.299 Ry per atom
energy above the most stable polymorph in this dataset = 62.69 kJ per mole of atoms

Cell lengths 7.3564, 7.3564, 7.3564 Å; angles 143.24, 143.24, 52.96 degrees
Fractional positions:
Nd1 0.0000 0.0000 0.0000
Sm1 0.2484 0.2484 0.0000
Sm2 0.5000 0.5000 0.0000
Sm3 0.7516 0.7516 0.0000

***

# 13
# Be2NiPdPt

A relaxed Be2NiPdPt crystal (PBE, the Alexandria database).

formation energy from the elements = 0.831 eV per atom
ρ = 7.718 g/cm3
energy = -0.299 Ry per atom

Cell lengths 4.0445, 4.0445, 4.9746 Å; angles 90.00, 90.00, 90.00 degrees
Fractional positions:
Be1 0.0000 0.5000 0.0000
Be2 0.5000 0.0000 0.0000
Ni1 0.0000 0.0000 0.5000
Pd1 0.5000 0.5000 0.0000
Pt1 0.5000 0.5000 0.5000

***

# 14
# BeCdPt3

A relaxed BeCdPt3 crystal (PBE, the Alexandria database).

formation energy from the elements = -0.234 eV per atom
ρ = 15.357 g/cm3
energy = -0.352 Ry per atom
energy above the most stable polymorph in this dataset = 19.65 kJ per mole of atoms

Cell lengths 4.4436, 4.4436, 8.9369 Å; angles 90.00, 90.00, 120.00 degrees
Fractional positions:
Be1 0.0000 0.0000 0.0000
Be2 0.0000 0.0000 0.5000
Cd1 0.3333 0.6667 0.2500
Cd2 0.6667 0.3333 0.7500
Pt1 0.0000 0.0000 0.2500
Pt2 0.0000 0.0000 0.7500
Pt3 0.3333 0.6667 0.5735
Pt4 0.3333 0.6667 0.9265
Pt5 0.6667 0.3333 0.0735
Pt6 0.6667 0.3333 0.4265

***

# 15
# Ca4CdGa2Ag

A relaxed Ca4CdGa2Ag crystal (PBE, the Alexandria database).

formation energy from the elements = -0.386 eV per atom
ρ = 4.187 g/cm3
energy = -0.192 Ry per atom

Cell lengths 9.1253, 9.1253, 9.1253 Å; angles 33.51, 33.51, 33.51 degrees
Fractional positions:
Ca1 0.1228 0.1228 0.1228
Ca2 0.3729 0.3729 0.3729
Ca3 0.6271 0.6271 0.6271
Ca4 0.8772 0.8772 0.8772
Cd1 0.5000 0.5000 0.5000
Ga1 0.2484 0.2484 0.2484
Ga2 0.7516 0.7516 0.7516
Ag1 0.0000 0.0000 0.0000

***

# 16
# LiCa5

A relaxed LiCa5 crystal (PBE, the Alexandria database).

formation energy from the elements = 0.006 eV per atom
ρ = 1.491 g/cm3
energy = -0.146 Ry per atom
energy above the most stable polymorph in this dataset = 0.00 kJ per mole of atoms

Cell lengths 3.9829, 3.9829, 14.5518 Å; angles 90.00, 90.00, 90.00 degrees
Fractional positions:
Li1 0.0000 0.0000 0.0000
Ca1 0.0000 0.0000 0.3176
Ca2 0.0000 0.0000 0.6824
Ca3 0.5000 0.5000 0.1341
Ca4 0.5000 0.5000 0.5000
Ca5 0.5000 0.5000 0.8659

***

# 17
# Zn6Pb

A relaxed Zn6Pb crystal (PBE, the Alexandria database).

formation energy from the elements = 0.389 eV per atom
ρ = 5.982 g/cm3
energy = -0.091 Ry per atom

Cell lengths 6.0023, 6.0023, 6.0023 Å; angles 109.47, 109.47, 109.47 degrees
Fractional positions:
Zn1 0.2500 0.5000 0.7500
Zn2 0.2500 0.7500 0.5000
Zn3 0.5000 0.2500 0.7500
Zn4 0.5000 0.7500 0.2500
Zn5 0.7500 0.2500 0.5000
Zn6 0.7500 0.5000 0.2500
Pb1 0.0000 0.0000 0.0000

***

# 18
# MgNiSN2

A relaxed MgNiSN2 crystal (PBE, the Alexandria database).

ρ = 3.526 g/cm3
energy = -0.366 Ry per atom
energy above the most stable polymorph in this dataset = 0.00 kJ per mole of atoms
energy relative to the elements, uncorrected = 0.6472 eV/atom

Cell lengths 3.6457, 3.6457, 5.0700 Å; angles 90.00, 90.00, 90.00 degrees
Fractional positions:
Mg1 0.0000 0.0000 0.0000
Ni1 0.5000 0.5000 0.5000
S1 0.5000 0.5000 0.0000
N1 0.0000 0.5000 0.5000
N2 0.5000 0.0000 0.5000

***

# 19
# Na2PuPO6

A relaxed Na2PuPO6 crystal (PBE, the Alexandria database).

ρ = 5.594 g/cm3
energy = -0.541 Ry per atom
energy relative to the elements, uncorrected = -2.1486 eV/atom

Cell lengths 5.3142, 5.3142, 4.3822 Å; angles 90.00, 90.00, 90.00 degrees
Fractional positions:
Na1 0.0000 0.5000 0.0000
Na2 0.5000 0.0000 0.0000
Pu1 0.0000 0.0000 0.5502
P1 0.5000 0.5000 0.4784
O1 0.0000 0.0000 0.0610
O2 0.2821 0.2821 0.5774
O3 0.2821 0.7179 0.5774
O4 0.5000 0.5000 0.1291
O5 0.7179 0.2821 0.5774
O6 0.7179 0.7179 0.5774

***

# 20
# TePtN2

A relaxed TePtN2 crystal (PBE, the Alexandria database).

ρ = 9.799 g/cm3
energy = -0.385 Ry per atom
energy relative to the elements, uncorrected = 1.2228 eV/atom

Cell lengths 6.8192, 6.8192, 6.8192 Å; angles 142.09, 142.09, 54.69 degrees
Fractional positions:
Te1 0.0000 0.0000 0.0000
Te2 0.7500 0.2500 0.5000
Pt1 0.2500 0.7500 0.5000
Pt2 0.5000 0.5000 0.0000
N1 0.1458 0.6250 0.0208
N2 0.3750 0.3958 0.5208
N3 0.6042 0.1250 0.9792
N4 0.8750 0.8542 0.4792

***

# 21
# SrZnC

A relaxed SrZnC crystal (PBE, the Alexandria database).

formation energy from the elements = -0.037 eV per atom
ρ = 3.969 g/cm3
energy = -0.301 Ry per atom

Cell lengths 4.1965, 4.2644, 8.7200 Å; angles 93.99, 91.08, 117.30 degrees
Fractional positions:
Sr1 0.0000 0.0000 0.0000
Sr2 0.0754 0.1125 0.5678
Zn1 0.3685 0.7325 0.2838
Zn2 0.7063 0.3880 0.2833
C1 0.6234 0.2838 0.8291
C2 0.7787 0.5128 0.7343

***

# 22
# YbSnO3

A relaxed YbSnO3 crystal (PBE, the Alexandria database).

ρ = 8.612 g/cm3
energy = -0.460 Ry per atom
energy relative to the elements, uncorrected = -2.1749 eV/atom

Cell lengths 4.0312, 4.0312, 4.0312 Å; angles 90.00, 90.00, 90.00 degrees
Fractional positions:
Yb1 0.0000 0.0000 0.0000
Sn1 0.5000 0.5000 0.5000
O1 0.0000 0.5000 0.5000
O2 0.5000 0.0000 0.5000
O3 0.5000 0.5000 0.0000

***

# 23
# Ac6PIr2I2

A relaxed Ac6PIr2I2 crystal (PBE, the Alexandria database).

ρ = 7.786 g/cm3
energy = -0.410 Ry per atom
energy relative to the elements, uncorrected = -0.9474 eV/atom

Cell lengths 7.6923, 7.6923, 8.7155 Å; angles 98.19, 98.19, 118.94 degrees
Fractional positions:
Ac1 0.0969 0.4374 0.8109
Ac2 0.2103 0.2103 0.1886
Ac3 0.4374 0.0969 0.8109
Ac4 0.5626 0.9031 0.1891
Ac5 0.7897 0.7897 0.8114
Ac6 0.9031 0.5626 0.1891
P1 0.5000 0.5000 0.0000
Ir1 0.1693 0.8307 0.0000
Ir2 0.8307 0.1693 0.0000
I1 0.3357 0.6643 0.5000
I2 0.6643 0.3357 0.5000

***

# 24
# Nd2TmI

A relaxed Nd2TmI crystal (PBE, the Alexandria database).

ρ = 7.350 g/cm3
energy = -0.311 Ry per atom
energy above the most stable polymorph in this dataset = 4.84 kJ per mole of atoms
energy relative to the elements, uncorrected = -0.3398 eV/atom

Cell lengths 3.6980, 3.6980, 9.6537 Å; angles 90.00, 90.00, 90.00 degrees
Fractional positions:
Nd1 0.0000 0.0000 0.2435
Nd2 0.0000 0.0000 0.7565
Tm1 0.5000 0.5000 0.5000
I1 0.5000 0.5000 0.0000

***

# 25
# Pm2IrSe

A relaxed Pm2IrSe crystal (PBE, the Alexandria database).

ρ = 8.892 g/cm3
energy = -0.490 Ry per atom
energy above the most stable polymorph in this dataset = 0.00 kJ per mole of atoms
energy relative to the elements, uncorrected = -1.2003 eV/atom

Cell lengths 7.5904, 7.5904, 7.5904 Å; angles 31.31, 31.31, 31.31 degrees
Fractional positions:
Pm1 0.2426 0.2426 0.2426
Pm2 0.7574 0.7574 0.7574
Ir1 0.5000 0.5000 0.5000
Se1 0.0000 0.0000 0.0000